Below is crystalline LiEr5Rh4 at its relaxed geometry, with properties calculated at the GGA-PBE level.

Summary:
Electronic total energy: -6.16 eV per atom
Total magnetic moment: 0.000 μB/cell
Theoretical density: 10.0 g cm⁻³

a b c (Å): 3.4166 3.4166 17.8006
angles (deg): 90.00 90.00 90.00
Closest atoms and distances in Å follow each position.
Space group P4/mmm (No. 123)
Symmetry-distinct sites (fractional):
Li (0.0000, 0.0000, 0.0000) [1 per cell]  8 Er 3.27, 4 Li 3.42
Er (0.5000, 0.5000, 0.1235) [2 per cell]  4 Rh 2.88
Er (0.5000, 0.5000, 0.3103) [2 per cell]  8 Rh 2.94-2.99
Er (0.5000, 0.5000, 0.5000) [1 per cell]  8 Rh 2.95
Rh (0.0000, 0.0000, 0.2111) [2 per cell]  8 Er 2.88-2.99
Rh (0.0000, 0.0000, 0.4048) [2 per cell]  8 Er 2.94-2.95